[1]
VASP calculation (PBE) on an optimized crystal structure of B5C7.

* total energy: -93.37 eV/cell
* calculated formation energy: 4.59 eV/f.u.
* space-group type: Cm

Unit cell a=4.5628 b=4.5628 c=8.1064 alpha=116.00 beta=116.00 gamma=31.66
Last column: nearest neighbours and their distance in Å.
Sites, in units of the cell vectors:
B 0.0000 0.0000 0.0000  2 C 1.59-1.61, 2 B 1.76
B 0.0089 0.0089 0.4804  4 C 1.62-1.75
B 0.3098 0.3098 0.6124  3 C 1.56-1.61
B 0.3325 0.3325 0.1502  4 C 1.60-1.67
B 0.5247 0.5247 0.8613  1 C 1.59, 2 B 1.76
C 0.1685 0.1685 0.1966  2 C 1.53, 2 B 1.61-1.65
C 0.1840 0.1840 0.7005  2 C 1.52, 1 B 1.56
C 0.5093 0.5093 0.3371  1 C 1.54, 3 B 1.60-1.70
C 0.6706 0.6706 0.3078  4 C 1.53-1.57
C 0.6751 0.6751 0.8027  3 C 1.52-1.57, 1 B 1.59
C 0.8215 0.8215 0.0070  1 C 1.57, 3 B 1.59-1.67
C 0.8345 0.8345 0.5012  1 C 1.57, 3 B 1.61-1.62

***

[2]
VASP calculation (PBE) on an optimized crystal structure of Pa2MnI8.

* formation energy without anion corrections: -0.6965 eV per atom
* total energy: -48.22 eV/cell
* space-group type: C2/m

Unit cell a=8.5286 b=8.5286 c=7.9850 alpha=101.06 beta=101.06 gamma=92.72
Last column: nearest neighbours and their distance in Å.
Sites, in units of the cell vectors:
Pa 0.1079 0.1079 0.0004  1 Pa 2.54
Pa 0.8921 0.8921 0.9996  1 Pa 2.54
Mn 0.0000 0.0000 0.5000  6 I 2.77-3.00
I 0.1221 0.7806 0.7391  1 Mn 3.00, 2 Pa 3.17
I 0.2194 0.8779 0.2609  1 Mn 3.00, 2 Pa 3.17
I 0.2337 0.2337 0.7000  1 Mn 2.77
I 0.3569 0.3569 0.2173  1 Pa 2.96
I 0.6431 0.6431 0.7827  1 Pa 2.96
I 0.7663 0.7663 0.3000  1 Mn 2.77
I 0.7806 0.1221 0.7391  1 Mn 3.00, 2 Pa 3.17
I 0.8779 0.2194 0.2609  1 Mn 3.00, 2 Pa 3.17

***

[3]
VASP calculation (PBE) on an optimized crystal structure of Ce7Ge2Au2.

* total energy: -60.64 eV/cell
* calculated formation energy: -3.31 eV/f.u.
* space-group type: Cmmm

Unit cell a=6.7450 b=6.7450 c=6.9139 alpha=90.00 beta=90.00 gamma=104.94
Last column: nearest neighbours and their distance in Å.
Sites, in units of the cell vectors:
Ce 0.0000 0.0000 0.0000  2 Au 3.10
Ce 0.0000 0.5000 0.3057  1 Ce 2.69, 2 Au 2.98
Ce 0.0000 0.5000 0.6943  1 Ce 2.69, 2 Au 2.98
Ce 0.5000 0.0000 0.3057  1 Ce 2.69, 2 Au 2.98
Ce 0.5000 0.0000 0.6943  1 Ce 2.69, 2 Au 2.98
Ce 0.5000 0.5000 0.3035  1 Ce 2.72
Ce 0.5000 0.5000 0.6965  1 Ce 2.72
Ge 0.1565 0.1565 0.5000  1 Ge 2.57
Ge 0.8435 0.8435 0.5000  1 Ge 2.57
Au 0.2895 0.7105 0.0000  7 Ce 2.98-3.10
Au 0.7105 0.2895 0.0000  7 Ce 2.98-3.10